Version A
# TlSbAs

Crystalline TlSbAs at its relaxed geometry (GGA-PBEsol, Alexandria).

POSCAR file:
```
TlSbAs
1.0
3.633 0.000 0.000
0.000 3.633 0.000
0.000 0.000 11.743
Tl Sb As
2 2 2
Direct
0.000 0.000 0.000
0.500 0.500 0.500
0.000 0.000 0.291
0.500 0.500 0.791
0.000 0.000 0.687
0.500 0.500 0.187
```

Output
- magnetic moment (μB/cell) = 0.000


Version B
# TlSbAs

Crystalline TlSbAs at its relaxed geometry (GGA-PBEsol, Alexandria).

POSCAR file:
```
TlSbAs
1.0
3.802 0.000 0.000
-1.901 3.293 0.000
0.000 0.000 6.554
Tl Sb As
1 1 1
Direct
0.000 0.000 0.000
0.667 0.333 0.405
0.333 0.667 0.648
```

Output
- magnetic moment (μB/cell) = 0.000


Version C
# TlSbAs

Crystalline TlSbAs at its relaxed geometry (GGA-PBEsol, Alexandria).

POSCAR file:
```
TlSbAs
1.0
5.165 0.000 0.000
-2.582 4.473 0.000
0.000 0.000 3.207
Tl Sb As
1 1 1
Direct
0.000 0.000 0.000
0.667 0.333 0.500
0.333 0.667 0.500
```

Output
- magnetic moment (μB/cell) = 0.000


version B is the most stable structure; the next one sits 0.008 eV/atom above it.


Version A
# YSbAs

Crystalline YSbAs at its relaxed geometry (GGA-PBEsol, Alexandria).

POSCAR file:
```
YSbAs
1.0
6.954 0.000 0.000
0.000 6.954 0.000
0.000 0.000 6.954
Y Sb As
4 4 4
Direct
0.000 0.000 0.000
0.000 0.500 0.500
0.500 0.000 0.500
0.500 0.500 0.000
0.250 0.250 0.750
0.250 0.750 0.250
0.750 0.250 0.250
0.750 0.750 0.750
0.250 0.250 0.250
0.250 0.750 0.750
0.750 0.250 0.750
0.750 0.750 0.250
```

Output
- magnetic moment (μB/cell) = 0.004


Version B
# YSbAs

Crystalline YSbAs at its relaxed geometry (GGA-PBEsol, Alexandria).

POSCAR file:
```
YSbAs
1.0
6.823 0.000 0.000
0.000 6.823 0.000
0.000 0.000 6.823
Y Sb As
4 4 4
Direct
0.000 0.000 0.000
0.000 0.500 0.500
0.500 0.000 0.500
0.500 0.500 0.000
0.000 0.000 0.500
0.000 0.500 0.000
0.500 0.000 0.000
0.500 0.500 0.500
0.250 0.250 0.250
0.250 0.750 0.750
0.750 0.250 0.750
0.750 0.750 0.250
```

Output
- magnetic moment (μB/cell) = 0.001


version B is the most stable structure; the next one sits 0.069 eV/atom above it.


Version A
# ZnSbAs2

Crystalline ZnSbAs2 at its relaxed geometry (GGA-PBEsol, Alexandria).

POSCAR file:
```
ZnSbAs2
1.0
3.847 0.000 0.000
0.000 5.204 0.000
0.000 0.000 7.990
Zn Sb As
2 2 4
Direct
0.000 0.000 0.000
0.500 0.500 0.000
0.000 0.500 0.262
0.500 0.000 0.262
0.000 0.000 0.546
0.000 0.500 0.784
0.500 0.000 0.784
0.500 0.500 0.546
```

Output
- magnetic moment (μB/cell) = 0.000


Version B
# ZnSbAs2

Crystalline ZnSbAs2 at its relaxed geometry (GGA-PBEsol, Alexandria).

POSCAR file:
```
ZnSbAs2
1.0
3.991 0.000 0.000
0.000 5.462 0.000
0.000 0.000 7.523
Zn Sb As
2 2 4
Direct
0.000 0.000 0.000
0.500 0.500 0.500
0.000 0.000 0.500
0.500 0.500 0.000
0.000 0.500 0.289
0.000 0.500 0.711
0.500 0.000 0.211
0.500 0.000 0.789
```

Output
- magnetic moment (μB/cell) = 0.000


version B is the most stable structure; the next one sits 0.039 eV/atom above it.


Version A
# ZnSb2As

Crystalline ZnSb2As at its relaxed geometry (GGA-PBEsol, Alexandria).

POSCAR file:
```
ZnSb2As
1.0
3.788 0.000 0.000
0.000 5.253 0.000
0.000 0.000 8.786
Zn Sb As
2 4 2
Direct
0.000 0.000 0.000
0.500 0.500 0.000
0.000 0.000 0.459
0.000 0.500 0.762
0.500 0.000 0.762
0.500 0.500 0.459
0.000 0.500 0.192
0.500 0.000 0.192
```

Output
- magnetic moment (μB/cell) = 0.000


Version B
# ZnSb2As

Crystalline ZnSb2As at its relaxed geometry (GGA-PBEsol, Alexandria).

POSCAR file:
```
ZnSb2As
1.0
4.008 0.000 0.000
0.000 4.008 0.000
0.000 0.000 5.729
Zn Sb As
1 2 1
Direct
0.000 0.000 0.000
0.000 0.000 0.506
0.500 0.500 0.015
0.500 0.500 0.488
```

Output
- magnetic moment (μB/cell) = 0.000


version B is the most stable structure; the next one sits 0.144 eV/atom above it.


Version A
# ScTcAs

Crystalline ScTcAs at its relaxed geometry (GGA-PBEsol, Alexandria).

POSCAR file:
```
ScTcAs
1.0
4.232 0.000 0.000
-2.116 3.665 0.000
0.000 0.000 3.232
Sc Tc As
1 1 1
Direct
0.000 0.000 0.000
0.333 0.667 0.500
0.667 0.333 0.500
```

Output
- magnetic moment (μB/cell) = 0.000


Version B
# ScTcAs

Crystalline ScTcAs at its relaxed geometry (GGA-PBEsol, Alexandria).

POSCAR file:
```
ScTcAs
1.0
3.292 0.000 0.000
-1.646 2.851 0.000
0.000 0.000 5.610
Sc Tc As
1 1 1
Direct
0.000 0.000 0.000
0.333 0.667 0.627
0.667 0.333 0.355
```

Output
- magnetic moment (μB/cell) = 0.000


version A is the most stable structure; the next one sits 0.204 eV/atom above it.


Version A
# ScTcAs2

Crystalline ScTcAs2 at its relaxed geometry (GGA-PBEsol, Alexandria).

POSCAR file:
```
ScTcAs2
1.0
6.363 0.000 0.000
0.000 6.363 0.000
0.000 0.000 6.363
Sc Tc As
4 4 8
Direct
0.000 0.000 0.000
0.000 0.500 0.500
0.500 0.000 0.500
0.500 0.500 0.000
0.250 0.250 0.250
0.250 0.750 0.750
0.750 0.250 0.750
0.750 0.750 0.250
0.000 0.000 0.500
0.000 0.500 0.000
0.250 0.250 0.750
0.250 0.750 0.250
0.500 0.000 0.000
0.500 0.500 0.500
0.750 0.250 0.250
0.750 0.750 0.750
```

Output
- magnetic moment (μB/cell) = 0.001


Version B
# ScTcAs2

Crystalline ScTcAs2 at its relaxed geometry (GGA-PBEsol, Alexandria).

POSCAR file:
```
ScTcAs2
1.0
3.801 0.000 0.000
0.000 3.801 0.000
0.000 0.000 8.942
Sc Tc As
2 2 4
Direct
0.000 0.000 0.000
0.500 0.500 0.500
0.000 0.500 0.250
0.500 0.000 0.750
0.000 0.000 0.500
0.000 0.500 0.750
0.500 0.000 0.250
0.500 0.500 0.000
```

Output
- magnetic moment (μB/cell) = 0.524


version B is the most stable structure; the next one sits 0.153 eV/atom above it.


Version A
# SiAsSe2

Crystalline SiAsSe2 at its relaxed geometry (GGA-PBEsol, Alexandria).

POSCAR file:
```
SiAsSe2
1.0
3.642 0.000 0.000
0.000 3.687 0.000
0.000 0.000 6.348
Si As Se
1 1 2
Direct
0.000 0.000 0.000
0.500 0.000 0.500
0.000 0.500 0.500
0.500 0.500 0.000
```

Output
- magnetic moment (μB/cell) = 0.000


Version B
# SiAsSe2

Crystalline SiAsSe2 at its relaxed geometry (GGA-PBEsol, Alexandria).

POSCAR file:
```
SiAsSe2
1.0
3.308 0.000 0.000
0.000 3.308 0.000
0.000 0.000 7.885
Si As Se
1 1 2
Direct
0.000 0.000 0.000
0.500 0.500 0.331
0.000 0.000 0.479
0.500 0.500 0.857
```

Output
- magnetic moment (μB/cell) = 0.000


version B is the most stable structure; the next one sits 0.126 eV/atom above it.


Version A
# Sm2AsSe

Crystalline Sm2AsSe at its relaxed geometry (GGA-PBEsol, Alexandria).

POSCAR file:
```
Sm2AsSe
1.0
4.133 0.000 0.000
0.000 4.133 0.000
0.000 0.000 5.830
Sm As Se
2 1 1
Direct
0.000 0.000 0.000
0.500 0.500 0.500
0.000 0.000 0.500
0.500 0.500 0.000
```

Output
- magnetic moment (μB/cell) = 0.000


Version B
# Sm2AsSe

Crystalline Sm2AsSe at its relaxed geometry (GGA-PBEsol, Alexandria).

POSCAR file:
```
Sm2AsSe
1.0
5.840 0.000 0.000
0.000 5.840 0.000
0.000 0.000 11.715
Sm As Se
8 4 4
Direct
0.000 0.250 0.121
0.000 0.250 0.629
0.000 0.750 0.371
0.000 0.750 0.879
0.500 0.250 0.379
0.500 0.250 0.871
0.500 0.750 0.129
0.500 0.750 0.621
0.000 0.250 0.875
0.000 0.750 0.125
0.500 0.250 0.625
0.500 0.750 0.375
0.000 0.250 0.375
0.000 0.750 0.625
0.500 0.250 0.125
0.500 0.750 0.875
```

Output
- magnetic moment (μB/cell) = 0.000


version B is the most stable structure; the next one sits 0.007 eV/atom above it.


Version A
# TcAsSe2

Crystalline TcAsSe2 at its relaxed geometry (GGA-PBEsol, Alexandria).

POSCAR file:
```
TcAsSe2
1.0
6.400 0.000 0.000
0.000 6.400 0.000
0.000 0.000 6.400
Tc As Se
4 4 8
Direct
0.000 0.000 0.000
0.000 0.500 0.500
0.500 0.000 0.500
0.500 0.500 0.000
0.250 0.250 0.750
0.250 0.750 0.250
0.750 0.250 0.250
0.750 0.750 0.750
0.000 0.000 0.500
0.000 0.500 0.000
0.250 0.250 0.250
0.250 0.750 0.750
0.500 0.000 0.000
0.500 0.500 0.500
0.750 0.250 0.750
0.750 0.750 0.250
```

Output
- magnetic moment (μB/cell) = 0.013


Version B
# TcAsSe2

Crystalline TcAsSe2 at its relaxed geometry (GGA-PBEsol, Alexandria).

POSCAR file:
```
TcAsSe2
1.0
3.171 0.000 0.000
0.000 4.406 0.000
0.000 0.000 4.760
Tc As Se
1 1 2
Direct
0.000 0.000 0.000
0.500 0.000 0.500
0.000 0.500 0.500
0.500 0.500 0.000
```

Output
- magnetic moment (μB/cell) = 0.001


version A is the most stable structure; the next one sits 0.060 eV/atom above it.


Version A
# TeAsSe

Crystalline TeAsSe at its relaxed geometry (GGA-PBEsol, Alexandria).

POSCAR file:
```
TeAsSe
1.0
6.734 0.000 0.000
0.000 6.734 0.000
0.000 0.000 6.734
Te As Se
4 4 4
Direct
0.000 0.000 0.000
0.000 0.500 0.500
0.500 0.000 0.500
0.500 0.500 0.000
0.250 0.250 0.750
0.250 0.750 0.250
0.750 0.250 0.250
0.750 0.750 0.750
0.000 0.000 0.500
0.000 0.500 0.000
0.500 0.000 0.000
0.500 0.500 0.500
```

Output
- magnetic moment (μB/cell) = 0.000


Version B
# TeAsSe

Crystalline TeAsSe at its relaxed geometry (GGA-PBEsol, Alexandria).

POSCAR file:
```
TeAsSe
1.0
3.632 0.000 0.000
0.000 5.273 0.000
0.000 0.000 14.544
Te As Se
4 4 4
Direct
0.000 0.000 0.000
0.000 0.500 0.500
0.500 0.000 0.500
0.500 0.500 0.000
0.000 0.000 0.328
0.000 0.500 0.828
0.500 0.000 0.828
0.500 0.500 0.328
0.000 0.000 0.706
0.000 0.500 0.206
0.500 0.000 0.206
0.500 0.500 0.706
```

Output
- magnetic moment (μB/cell) = 0.000


version B is the most stable structure; the next one sits 0.043 eV/atom above it.


Version A
# TeAsSe2

Crystalline TeAsSe2 at its relaxed geometry (GGA-PBEsol, Alexandria).

POSCAR file:
```
TeAsSe2
1.0
6.948 0.000 0.000
0.000 6.948 0.000
0.000 0.000 6.948
Te As Se
4 4 8
Direct
0.000 0.000 0.000
0.000 0.500 0.500
0.500 0.000 0.500
0.500 0.500 0.000
0.250 0.250 0.750
0.250 0.750 0.250
0.750 0.250 0.250
0.750 0.750 0.750
0.000 0.000 0.500
0.000 0.500 0.000
0.250 0.250 0.250
0.250 0.750 0.750
0.500 0.000 0.000
0.500 0.500 0.500
0.750 0.250 0.750
0.750 0.750 0.250
```

Output
- magnetic moment (μB/cell) = 0.000


Version B
# TeAsSe2

Crystalline TeAsSe2 at its relaxed geometry (GGA-PBEsol, Alexandria).

POSCAR file:
```
TeAsSe2
1.0
3.794 0.000 0.000
0.000 7.005 0.000
0.000 0.000 7.658
Te As Se
2 2 4
Direct
0.000 0.000 0.000
0.500 0.500 0.000
0.000 0.000 0.500
0.500 0.500 0.500
0.000 0.500 0.270
0.000 0.500 0.730
0.500 0.000 0.270
0.500 0.000 0.730
```

Output
- magnetic moment (μB/cell) = 0.000


version B is the most stable structure; the next one sits 0.105 eV/atom above it.


Version A
# SiAs2

Crystalline SiAs2 at its relaxed geometry (GGA-PBEsol, Alexandria).

POSCAR file:
```
SiAs2
1.0
6.755 0.000 0.000
0.000 3.679 0.000
0.000 0.000 10.651
Si As
4 8
Direct
0.149 0.250 0.062
0.351 0.750 0.562
0.649 0.250 0.438
0.851 0.750 0.938
0.001 0.250 0.419
0.029 0.250 0.847
0.471 0.750 0.347
0.499 0.750 0.919
0.501 0.250 0.081
0.529 0.250 0.653
0.971 0.750 0.153
0.999 0.750 0.581
```

Output
- magnetic moment (μB/cell) = 0.000


Version B
# SiAs2

Crystalline SiAs2 at its relaxed geometry (GGA-PBEsol, Alexandria).

POSCAR file:
```
SiAs2
1.0
3.707 0.000 0.000
0.000 11.170 0.000
0.000 0.000 5.227
Si As
4 8
Direct
0.000 0.168 0.250
0.000 0.832 0.750
0.500 0.332 0.750
0.500 0.668 0.250
0.000 0.176 0.750
0.000 0.487 0.750
0.000 0.513 0.250
0.000 0.824 0.250
0.500 0.013 0.250
0.500 0.324 0.250
0.500 0.676 0.750
0.500 0.987 0.750
```

Output
- magnetic moment (μB/cell) = 0.001


version A is the most stable structure; the next one sits 0.061 eV/atom above it.